Entry 1:
DFT (GGA-PBE) results for a relaxed SeIN2F crystal.

Structure (extended XYZ):
```
5
Lattice="-0.9006 -2.3842 2.7152 -1.9895 -2.0087 -2.4237 6.3279 -4.2728 -1.6531" Properties=species:S:1:pos:R:3 pbc="T T T"
Se 0.0000 0.0000 0.0000
F 1.7189 -4.3328 -0.6808
N -0.9948 -1.0044 -1.2118
N -0.4503 -1.1921 1.3576
I 3.1640 -2.1364 -0.8265
```

Properties
DFT total energy in eV/cell: -17.09
Density of states at the Fermi level in states/eV/f.u.: 3.421

Entry 2:
DFT (GGA-PBE) results for a relaxed TaIn2Ge2 crystal.

Structure (extended XYZ):
```
10
Lattice="7.0578 0.0000 0.0000 0.0000 7.0578 0.0000 0.0000 0.0000 4.1090" Properties=species:S:1:pos:R:3 pbc="T T T"
Ge 1.0039 2.5251 0.0000
Ge 6.0540 4.5328 0.0000
Ge 2.5251 6.0540 0.0000
Ge 4.5328 1.0039 0.0000
In 5.8704 2.3415 2.0545
In 2.3415 1.1874 2.0545
In 1.1874 4.7164 2.0545
In 4.7164 5.8704 2.0545
Ta 3.5289 3.5289 0.0000
Ta 0.0000 0.0000 0.0000
```

Properties
DFT total energy in eV/cell: -50.27
Density of states at the Fermi level in states/eV/f.u.: 3.959

Entry 3:
DFT (GGA-PBE) results for a relaxed CaCS crystal.

Structure (extended XYZ):
```
3
Lattice="3.4087 0.0000 0.0000 0.0000 3.4087 0.0000 0.0000 0.0000 4.6971" Properties=species:S:1:pos:R:3 pbc="T T T"
S 0.0000 0.0000 0.0799
C 0.0000 0.0000 3.1356
Ca 1.7044 1.7044 2.0608
```

Properties
DFT total energy in eV/cell: -15.44
Density of states at the Fermi level in states/eV/f.u.: 1.241

Entry 4:
DFT (GGA-PBE) results for a relaxed GdHfBe2 crystal.

Structure (extended XYZ):
```
4
Lattice="3.2728 0.0000 0.0000 0.0000 3.2728 0.0000 0.0000 0.0000 6.5456" Properties=species:S:1:pos:R:3 pbc="T T T"
Be 0.0000 0.0000 5.2058
Be 0.0000 0.0000 1.3398
Gd 1.6364 1.6364 3.2728
Hf 1.6364 1.6364 0.0000
```

Properties
DFT total energy in eV/cell: -31.38
Density of states at the Fermi level in states/eV/f.u.: 2.455

Entry 5:
DFT (GGA-PBE) results for a relaxed Cd2SnRu crystal.

Structure (extended XYZ):
```
4
Lattice="0.0000 3.4307 3.4307 3.4307 0.0000 3.4307 3.4307 3.4307 0.0000" Properties=species:S:1:pos:R:3 pbc="T T T"
Cd 5.1461 5.1461 5.1461
Cd 1.7154 1.7154 1.7154
Sn 3.4307 3.4307 3.4307
Ru 0.0000 0.0000 0.0000
```

Properties
DFT total energy in eV/cell: -13.24
Density of states at the Fermi level in states/eV/f.u.: 4.277

Entry 6:
DFT (GGA-PBE) results for a relaxed SmErHg2 crystal.

Structure (extended XYZ):
```
4
Lattice="3.7488 0.0000 0.0000 1.8744 3.2466 0.0000 1.8744 1.0822 9.2680" Properties=species:S:1:pos:R:3 pbc="T T T"
Er 3.7488 2.1644 0.0050
Hg 1.8744 1.0822 7.0265
Hg 1.8744 1.0822 2.2380
Sm 3.7488 2.1644 4.6325
```

Properties
DFT total energy in eV/cell: -11.21
Density of states at the Fermi level in states/eV/f.u.: 3.746

Entry 7:
DFT (GGA-PBE) results for a relaxed ScBe2AsF crystal.

Structure (extended XYZ):
```
5
Lattice="-1.3454 0.8485 -4.7147 -3.4214 -1.6163 0.6855 -1.8304 4.4345 1.3203" Properties=species:S:1:pos:R:3 pbc="T T T"
Be -0.9152 2.2173 0.6602
Be -0.6727 0.4242 -2.3574
Sc 0.0000 0.0000 0.0000
F -1.7107 -0.8081 0.3427
As -3.2986 1.8334 -1.3545
```

Properties
DFT total energy in eV/cell: -19.65
Density of states at the Fermi level in states/eV/f.u.: 2.554

Entry 8:
DFT (GGA-PBE) results for a relaxed TbDy7Y4 crystal.

Structure (extended XYZ):
```
12
Lattice="6.3828 -1.8380 2.6881 0.7143 5.7474 2.2361 2.8519 -2.3079 10.7632" Properties=species:S:1:pos:R:3 pbc="T T T"
Dy 1.9474 2.4198 1.7993
Dy 5.3631 -0.7235 5.8787
Dy 8.0016 -0.8182 13.8882
Dy 4.5859 2.3251 9.8088
Dy 3.1914 -0.9190 1.3441
Dy 7.3128 1.7038 7.6684
Dy 2.6362 -0.1022 8.0190
Y 7.7765 1.4000 11.1511
Y 2.1725 0.2015 4.5364
Y 5.8223 -1.0019 9.3598
Y 4.1267 2.6035 6.3276
Tb 0.0000 0.0000 0.0000
```

Properties
DFT total energy in eV/cell: -62.71
Density of states at the Fermi level in states/eV/f.u.: 15.794

Entry 9:
DFT (GGA-PBE) results for a relaxed Pm7YAl4 crystal.

Structure (extended XYZ):
```
12
Lattice="-2.1457 0.9328 5.1047 3.4594 -6.4719 5.7253 4.7218 4.0473 4.3336" Properties=species:S:1:pos:R:3 pbc="T T T"
Pm 3.8679 -2.7856 11.4004
Pm 3.1915 -2.8696 4.9544
Pm -1.0728 0.4664 2.5523
Pm 0.8401 -0.6674 6.6521
Pm 2.8439 1.3779 10.2091
Pm 5.1954 -0.8243 8.5115
Pm 2.1676 1.2940 3.7632
Al 2.7385 1.6221 7.0317
Al 0.5361 -1.7637 3.6362
Al 5.4994 0.2720 11.5274
Al 3.2970 -3.1138 8.1319
Y 0.0000 0.0000 0.0000
```

Properties
DFT total energy in eV/cell: -55.49
Density of states at the Fermi level in states/eV/f.u.: 13.520

Entry 10:
DFT (GGA-PBE) results for a relaxed YBeNO2 crystal.

Structure (extended XYZ):
```
5
Lattice="-0.4543 2.3431 3.6090 -4.0183 -1.5289 0.4868 1.6141 -3.4618 2.4507" Properties=species:S:1:pos:R:3 pbc="T T T"
N 0.8070 -1.7309 1.2253
O -2.0092 -0.7645 0.2434
O -0.2272 1.1715 1.8045
Be -1.4293 -1.3238 3.2732
Y 0.0000 0.0000 0.0000
```

Properties
DFT total energy in eV/cell: -28.14
Density of states at the Fermi level in states/eV/f.u.: 2.492

Entry 11:
DFT (GGA-PBE) results for a relaxed Sr4LiOs crystal.

Structure (extended XYZ):
```
6
Lattice="0.0000 4.7445 4.7445 4.7445 0.0000 4.7445 4.7445 4.7445 0.0000" Properties=species:S:1:pos:R:3 pbc="T T T"
Li 7.1168 7.1168 7.1168
Sr 3.5439 5.9452 5.9452
Sr 5.9452 5.9452 3.5439
Sr 3.5439 3.5439 3.5439
Sr 5.9452 3.5439 5.9452
Os 0.0000 0.0000 0.0000
```

Properties
DFT total energy in eV/cell: -12.64
Density of states at the Fermi level in states/eV/f.u.: 7.538

Entry 12:
DFT (GGA-PBE) results for a relaxed CsBiSe2N crystal.

Structure (extended XYZ):
```
5
Lattice="5.7001 0.0000 0.0000 0.0000 5.7001 0.0000 0.0000 0.0000 4.8583" Properties=species:S:1:pos:R:3 pbc="T T T"
N 0.0000 0.0000 2.4292
Cs 2.8500 2.8500 2.4292
Se 0.0000 2.8500 0.0000
Se 2.8500 0.0000 0.0000
Bi 0.0000 0.0000 0.0000
```

Properties
DFT total energy in eV/cell: -18.39
Density of states at the Fermi level in states/eV/f.u.: 3.996

Entry 13:
DFT (GGA-PBE) results for a relaxed LaZrIr2 crystal.

Structure (extended XYZ):
```
4
Lattice="-0.2364 3.8891 3.1871 -3.9509 -2.1170 2.2902 1.9887 -1.5309 2.0156" Properties=species:S:1:pos:R:3 pbc="T T T"
Zr -0.9811 -1.8239 2.1529
Ir 0.0000 0.0000 0.0000
Ir -2.0937 0.8861 2.7387
La 0.8761 1.1791 2.6014
```

Properties
DFT total energy in eV/cell: -33.41
Density of states at the Fermi level in states/eV/f.u.: 2.034

Entry 14:
DFT (GGA-PBE) results for a relaxed AgPdPtCl6 crystal.

Structure (extended XYZ):
```
18
Lattice="-6.3910 -1.3847 0.7348 -0.6673 -0.3877 -6.5350 2.3321 -10.5574 0.3882" Properties=species:S:1:pos:R:3 pbc="T T T"
Cl -1.2343 -2.4907 -5.2025
Cl -1.5354 -3.9319 -1.7481
Cl -2.3901 -11.7331 -3.4909
Cl -0.0083 -11.1349 -1.5336
Cl -4.2613 -6.4856 -0.2981
Cl 0.2260 -9.2031 -4.9283
Cl -3.1617 -8.4025 -3.6416
Cl -3.4678 -9.8466 -0.2367
Cl -4.9714 -3.1417 -0.4558
Cl -4.0386 -4.5604 -3.8051
Cl -0.7119 -7.7873 -1.6285
Cl -0.4691 -5.8250 -5.1147
Ag 2.3283 -10.5403 0.3876
Ag -2.3669 -6.1479 -2.7067
Pd 1.5488 -7.0115 0.2578
Pd -3.1464 -2.6190 -2.8364
Pt 0.7863 -3.5597 0.1309
Pt -1.5768 -9.7246 -2.5751
```

Properties
DFT total energy in eV/cell: -57.09
Density of states at the Fermi level in states/eV/f.u.: 4.571

Entry 15:
DFT (GGA-PBE) results for a relaxed Pm7TlSn5 crystal.

Structure (extended XYZ):
```
13
Lattice="6.3912 0.0000 0.0000 3.1956 7.8799 -0.2429 3.1956 -0.2683 7.8790" Properties=species:S:1:pos:R:3 pbc="T T T"
Pm 6.3912 2.8115 2.8206
Pm 3.1956 5.1003 2.4069
Pm 3.1956 1.6588 1.6642
Pm 6.3912 6.3459 0.9014
Pm 6.3912 0.8809 6.3488
Pm 3.1956 2.3905 5.1081
Pm 6.3912 5.6825 5.7009
Sn 4.7963 3.5087 7.7322
Sn 7.9861 7.7208 3.5336
Sn 7.9861 3.5087 7.7322
Sn 9.5868 5.5641 5.5821
Sn 4.7963 7.7208 3.5336
Tl 6.3912 0.3875 0.3888
```

Properties
DFT total energy in eV/cell: -61.84
Density of states at the Fermi level in states/eV/f.u.: 13.559

Entry 16:
DFT (GGA-PBE) results for a relaxed Ho3Bi2Se crystal.

Structure (extended XYZ):
```
12
Lattice="-3.6759 -3.6340 3.3285 2.4962 -7.5521 -5.4883 2.4325 4.8590 7.9912" Properties=species:S:1:pos:R:3 pbc="T T T"
Se -0.5806 -2.4649 2.2668
Se 0.0463 -5.6287 5.1828
Ho -0.5904 -0.5172 4.3811
Ho 0.0370 -3.6813 7.2974
Ho -2.4176 -4.2826 3.9317
Ho 1.8831 -3.8113 3.5181
Ho 0.0570 -7.5756 3.0677
Ho -0.5704 -4.4115 0.1515
Bi -2.4282 -2.1865 6.2068
Bi 1.8732 -1.7156 5.7935
Bi 1.8947 -5.9063 1.2420
Bi -2.4066 -6.3772 1.6553
```

Properties
DFT total energy in eV/cell: -63.08
Density of states at the Fermi level in states/eV/f.u.: 3.066

Entry 17:
DFT (GGA-PBE) results for a relaxed KPaRuN3 crystal.

Structure (extended XYZ):
```
12
Lattice="-2.9839 -1.0959 -1.5647 -1.9006 -3.9444 6.3870 -3.5082 8.4466 0.7742" Properties=species:S:1:pos:R:3 pbc="T T T"
Ru -2.9520 4.7302 0.3109
Ru -5.4407 -1.3239 5.2857
K -1.7380 0.4941 0.9626
K -6.6548 2.9122 4.6340
N -4.8725 5.1490 3.6799
N -4.6146 3.5377 0.3054
N -3.7781 -0.1314 5.2912
N -3.5202 -1.7427 1.9167
N -3.9517 6.2446 1.1566
N -4.4411 -2.8382 4.4400
Pa -2.5273 -1.6375 3.9608
Pa -5.8654 5.0438 1.6358
```

Properties
DFT total energy in eV/cell: -97.51
Density of states at the Fermi level in states/eV/f.u.: 1.770

Entry 18:
DFT (GGA-PBE) results for a relaxed Sc2FeMo crystal.

Structure (extended XYZ):
```
4
Lattice="4.5725 0.0242 0.0000 -0.0194 4.5726 0.0000 0.0000 0.0000 3.3390" Properties=species:S:1:pos:R:3 pbc="T T T"
Sc 0.0000 0.0000 0.0000
Sc 2.2766 2.2984 0.0000
Fe 2.2863 0.0121 1.6695
Mo -0.0097 2.2863 1.6695
```

Properties
DFT total energy in eV/cell: -31.09
Density of states at the Fermi level in states/eV/f.u.: 7.344

Entry 19:
DFT (GGA-PBE) results for a relaxed CaSm2Dy crystal.

Structure (extended XYZ):
```
8
Lattice="-3.5136 0.0346 -0.1985 0.0395 -6.2742 -1.7916 1.0737 -4.1971 11.4624" Properties=species:S:1:pos:R:3 pbc="T T T"
Sm -1.9244 -3.9848 2.1702
Sm -0.1359 -7.1429 1.1622
Sm -2.2645 -3.2939 8.3101
Sm -0.4760 -6.4519 7.3021
Dy -0.3341 -3.6630 5.2754
Dy -2.0663 -6.7737 4.1969
Ca -1.7288 -4.7064 -1.4176
Ca -0.6716 -5.7303 10.8899
```

Properties
DFT total energy in eV/cell: -31.24
Density of states at the Fermi level in states/eV/f.u.: 5.365

Entry 20:
DFT (GGA-PBE) results for a relaxed SrZnHg2 crystal.

Structure (extended XYZ):
```
4
Lattice="4.9646 0.0080 -0.0020 2.8991 4.0303 -0.0020 2.2095 1.1346 5.4164" Properties=species:S:1:pos:R:3 pbc="T T T"
Hg 5.1041 2.6211 2.2591
Hg 7.7961 4.0035 0.4430
Zn 2.5183 1.2932 1.3531
Sr 7.5549 3.8797 4.0593
```

Properties
DFT total energy in eV/cell: -4.74
Density of states at the Fermi level in states/eV/f.u.: 1.675

Entry 21:
DFT (GGA-PBE) results for a relaxed K2ScRh crystal.

Structure (extended XYZ):
```
4
Lattice="7.1326 0.0471 -0.0025 3.3043 6.3212 0.0025 -4.2772 -4.7268 3.1999" Properties=species:S:1:pos:R:3 pbc="T T T"
Rh 5.6462 3.4452 0.0000
K 2.6867 2.7334 1.6012
K 10.3266 6.3010 0.0000
Sc 3.1557 -1.2855 1.5987
```

Properties
DFT total energy in eV/cell: -15.17
Density of states at the Fermi level in states/eV/f.u.: 3.040

Entry 22:
DFT (GGA-PBE) results for a relaxed Sm2PuPd crystal.

Structure (extended XYZ):
```
4
Lattice="-0.6294 -1.0986 -3.3586 -2.9551 -1.7071 1.1122 -4.5509 6.9518 -1.4211" Properties=species:S:1:pos:R:3 pbc="T T T"
Pd -1.7922 -1.4029 -1.1232
Pu -4.0677 2.0730 -1.8338
Sm -0.9372 1.4316 -0.2927
Sm -3.6137 5.5202 -1.1284
```

Properties
DFT total energy in eV/cell: -30.06
Density of states at the Fermi level in states/eV/f.u.: 7.026

Entry 23:
DFT (GGA-PBE) results for a relaxed BaPBr2 crystal.

Structure (extended XYZ):
```
4
Lattice="4.8274 0.0000 0.0000 0.0000 5.2439 -0.0002 0.0000 0.4030 5.2283" Properties=species:S:1:pos:R:3 pbc="T T T"
Br 0.0000 0.2094 0.1931
Br 0.0000 2.6140 2.4210
P 2.4137 1.4117 1.3070
Ba 2.4137 4.2352 3.9211
```

Properties
DFT total energy in eV/cell: -13.48
Density of states at the Fermi level in states/eV/f.u.: 1.129

Entry 24:
DFT (GGA-PBE) results for a relaxed Pm3SmCo crystal.

Structure (extended XYZ):
```
10
Lattice="7.2336 0.6754 0.9045 -2.9622 6.6338 -0.9045 -2.9832 -3.1593 5.8923" Properties=species:S:1:pos:R:3 pbc="T T T"
Sm 1.1528 0.0822 4.9406
Sm 0.7940 5.1946 0.9517
Pm -0.6135 3.1224 3.6756
Pm -2.9238 4.4726 1.3122
Pm -2.3884 -0.7430 4.2526
Pm 1.8132 1.7042 1.6397
Pm 5.5043 1.5462 1.8604
Pm -4.3379 2.3952 4.0319
Co -0.8244 3.2440 0.3812
Co 0.2478 -2.2853 5.5110
```

Properties
DFT total energy in eV/cell: -52.80
Density of states at the Fermi level in states/eV/f.u.: 4.952

Entry 25:
DFT (GGA-PBE) results for a relaxed Na3Tm2HfS6 crystal.

Structure (extended XYZ):
```
12
Lattice="-0.7279 -5.1361 4.1355 5.2382 4.0263 0.6014 -4.9851 4.2647 2.6409" Properties=species:S:1:pos:R:3 pbc="T T T"
S 2.2888 0.1152 4.1625
S 0.9004 2.1630 1.1379
S 0.5379 3.9299 5.1067
S -1.3752 0.9920 6.2399
S -2.7635 3.0397 3.2154
S -1.0126 -0.7749 2.2712
Na -0.2374 1.5775 3.6889
Na 1.7382 4.6115 2.5186
Na -2.2130 -1.4565 4.8592
Hf 0.0000 0.0000 0.0000
Tm 1.2619 -2.0802 2.9568
Tm 3.2484 0.9704 1.7801
```

Properties
DFT total energy in eV/cell: -68.00
Density of states at the Fermi level in states/eV/f.u.: 3.692